Entry 1:
Computed, not measured: TaTe2Cl after structural relaxation at the GGA-PBEsol level of DFT.

Results
The uncorrected formation energy comes out at -138 kJ/mol of formula units. The calculation puts the calculated total energy at -5.760 eV per atom. The value obtained for the total magnetization is 0.000 μB per cell.

abc: 8.674 8.674 8.674
angles: 23.89 23.89 23.89
Element x y z (fractional)
Ta: 0.000 0.000 0.000
Te: 0.259 0.259 0.259
Te: 0.741 0.741 0.741
Cl: 0.500 0.500 0.500



Entry 2:
Computed, not measured: TaTe2Cl after structural relaxation at the GGA-PBEsol level of DFT.

Results
The uncorrected formation energy comes out at -10 kJ/mol of formula units. The calculation puts the calculated total energy at -5.428 eV per atom. The value obtained for the total magnetization is 0.000 μB per cell.

abc: 7.547 7.547 7.547
angles: 155.59 142.51 45.25
Element x y z (fractional)
Ta: 0.000 0.000 0.000
Te: 0.161 0.661 0.500
Te: 0.839 0.339 0.500
Cl: 0.500 0.500 0.000



Entry 3:
Computed, not measured: Ta2TeCl after structural relaxation at the GGA-PBEsol level of DFT.

Results
The uncorrected formation energy comes out at 171 kJ/mol of formula units. The calculation puts the calculated total energy at -7.217 eV per atom. The value obtained for the total magnetization is 0.000 μB per cell.

abc: 5.482 5.482 2.951
angles: 101.56 101.56 110.98
Element x y z (fractional)
Ta: 0.000 0.500 0.000
Ta: 0.500 0.000 0.000
Te: 0.000 0.000 0.000
Cl: 0.500 0.500 0.000



Entry 4:
Computed, not measured: TaTeCl2 after structural relaxation at the GGA-PBEsol level of DFT.

Results
The uncorrected formation energy comes out at -230 kJ/mol of formula units. The calculation puts the calculated total energy at -5.618 eV per atom. The value obtained for the total magnetization is 0.000 μB per cell.

abc: 10.736 10.736 10.736
angles: 16.68 16.68 16.68
Element x y z (fractional)
Ta: 0.000 0.000 0.000
Te: 0.500 0.500 0.500
Cl: 0.278 0.278 0.278
Cl: 0.722 0.722 0.722



Entry 5:
Computed, not measured: Ta2TeCl after structural relaxation at the GGA-PBEsol level of DFT.

Results
The uncorrected formation energy comes out at 176 kJ/mol of formula units. The calculation puts the calculated total energy at -7.203 eV per atom. The value obtained for the total magnetization is 0.000 μB per cell.

abc: 3.186 3.186 8.977
angles: 90.00 90.00 122.84
Element x y z (fractional)
Ta: 0.000 0.000 0.242
Ta: 0.000 0.000 0.758
Te: 0.500 0.500 0.500
Cl: 0.500 0.500 0.000



Entry 6:
Computed, not measured: TaTeCl2 after structural relaxation at the GGA-PBEsol level of DFT.

Results
The uncorrected formation energy comes out at 240 kJ/mol of formula units. The calculation puts the calculated total energy at -4.402 eV per atom. The value obtained for the total magnetization is 0.001 μB per cell.

abc: 4.969 4.969 3.122
angles: 90.00 90.00 90.00
Element x y z (fractional)
Ta: 0.000 0.000 0.000
Te: 0.500 0.500 0.000
Cl: 0.000 0.500 0.500
Cl: 0.500 0.000 0.500



Entry 7:
Computed, not measured: TaTe2Cl after structural relaxation at the GGA-PBEsol level of DFT.

Results
The uncorrected formation energy comes out at 226 kJ/mol of formula units. The calculation puts the calculated total energy at -4.817 eV per atom. The value obtained for the total magnetization is 2.013 μB per cell.

abc: 4.261 4.261 4.906
angles: 90.00 90.00 90.00
Element x y z (fractional)
Ta: 0.000 0.000 0.000
Te: 0.000 0.500 0.500
Te: 0.500 0.000 0.500
Cl: 0.500 0.500 0.000



Entry 8:
Computed, not measured: Ta2TeCl after structural relaxation at the GGA-PBEsol level of DFT.

Results
The uncorrected formation energy comes out at 37 kJ/mol of formula units. The calculation puts the calculated total energy at -7.562 eV per atom. The value obtained for the total magnetization is 0.000 μB per cell.

abc: 2.910 4.309 6.062
angles: 90.00 90.00 90.00
Element x y z (fractional)
Ta: 0.000 0.000 0.000
Ta: 0.500 0.500 0.251
Te: 0.000 0.000 0.502
Cl: 0.500 0.500 0.857



Entry 9:
Computed, not measured: Ta2TlCl after structural relaxation at the GGA-PBEsol level of DFT.

Results
The uncorrected formation energy comes out at 311 kJ/mol of formula units. The calculation puts the calculated total energy at -6.630 eV per atom. The value obtained for the total magnetization is 0.003 μB per cell.

abc: 5.270 5.270 5.270
angles: 133.63 133.63 67.67
Element x y z (fractional)
Ta: 0.000 0.000 0.000
Ta: 0.750 0.250 0.500
Tl: 0.500 0.500 0.000
Cl: 0.250 0.750 0.500



Entry 10:
Computed, not measured: Ta2TlCl after structural relaxation at the GGA-PBEsol level of DFT.

Results
The uncorrected formation energy comes out at 229 kJ/mol of formula units. The calculation puts the calculated total energy at -6.842 eV per atom. The value obtained for the total magnetization is 0.000 μB per cell.

abc: 5.914 5.914 3.129
angles: 103.69 103.69 123.60
Element x y z (fractional)
Ta: 0.000 0.500 0.000
Ta: 0.500 0.000 0.000
Tl: 0.000 0.000 0.000
Cl: 0.500 0.500 0.000



Entry 11:
Computed, not measured: TaTlCl6 after structural relaxation at the GGA-PBEsol level of DFT.

Results
The uncorrected formation energy comes out at -973 kJ/mol of formula units. The calculation puts the calculated total energy at -4.665 eV per atom. The value obtained for the total magnetization is 0.000 μB per cell.

abc: 6.659 6.659 10.842
angles: 92.14 92.14 70.09
Element x y z (fractional)
Ta: 0.000 0.500 0.000
Ta: 0.500 0.000 0.500
Tl: 0.005 0.995 0.250
Tl: 0.995 0.005 0.750
Cl: 0.132 0.202 0.509
Cl: 0.141 0.510 0.805
Cl: 0.202 0.132 0.009
Cl: 0.283 0.584 0.096
Cl: 0.416 0.717 0.404
Cl: 0.490 0.859 0.695
Cl: 0.510 0.141 0.305
Cl: 0.584 0.283 0.596
Cl: 0.717 0.416 0.904
Cl: 0.798 0.868 0.991
Cl: 0.859 0.490 0.195
Cl: 0.868 0.798 0.491



Entry 12:
Computed, not measured: Ta2TlCl after structural relaxation at the GGA-PBEsol level of DFT.

Results
The uncorrected formation energy comes out at 239 kJ/mol of formula units. The calculation puts the calculated total energy at -6.816 eV per atom. The value obtained for the total magnetization is 0.000 μB per cell.

abc: 4.649 4.649 4.649
angles: 60.00 60.00 60.00
Element x y z (fractional)
Ta: 0.250 0.250 0.250
Ta: 0.750 0.750 0.750
Tl: 0.000 0.000 0.000
Cl: 0.500 0.500 0.500



Entry 13:
Computed, not measured: Ta3TlCl after structural relaxation at the GGA-PBEsol level of DFT.

Results
The uncorrected formation energy comes out at 422 kJ/mol of formula units. The calculation puts the calculated total energy at -7.584 eV per atom. The value obtained for the total magnetization is 0.000 μB per cell.

abc: 4.527 4.527 4.527
angles: 90.00 90.00 90.00
Element x y z (fractional)
Ta: 0.000 0.000 0.500
Ta: 0.000 0.500 0.000
Ta: 0.500 0.000 0.000
Tl: 0.500 0.500 0.500
Cl: 0.000 0.000 0.000



Entry 14:
Computed, not measured: Ta3Tl2Cl9 after structural relaxation at the GGA-PBEsol level of DFT.

Results
The uncorrected formation energy comes out at -1632 kJ/mol of formula units. The calculation puts the calculated total energy at -5.564 eV per atom. The value obtained for the total magnetization is 0.000 μB per cell.

abc: 9.563 9.563 9.455
angles: 103.83 103.83 114.72
Element x y z (fractional)
Ta: 0.045 0.223 0.641
Ta: 0.111 0.111 0.367
Ta: 0.223 0.045 0.641
Ta: 0.777 0.955 0.359
Ta: 0.889 0.889 0.633
Ta: 0.955 0.777 0.359
Tl: 0.236 0.552 0.172
Tl: 0.448 0.764 0.828
Tl: 0.552 0.236 0.172
Tl: 0.764 0.448 0.828
Cl: 0.079 0.865 0.175
Cl: 0.103 0.507 0.823
Cl: 0.135 0.921 0.825
Cl: 0.184 0.398 0.511
Cl: 0.213 0.787 0.500
Cl: 0.251 0.251 0.203
Cl: 0.322 0.322 0.837
Cl: 0.398 0.184 0.511
Cl: 0.493 0.897 0.177
Cl: 0.507 0.103 0.823
Cl: 0.602 0.816 0.489
Cl: 0.678 0.678 0.163
Cl: 0.749 0.749 0.797
Cl: 0.787 0.213 0.500
Cl: 0.816 0.602 0.489
Cl: 0.865 0.079 0.175
Cl: 0.897 0.493 0.177
Cl: 0.921 0.135 0.825



Entry 15:
Computed, not measured: TaWCl after structural relaxation at the GGA-PBEsol level of DFT.

Results
The uncorrected formation energy comes out at 76 kJ/mol of formula units. The calculation puts the calculated total energy at -9.192 eV per atom. The value obtained for the total magnetization is 0.000 μB per cell.

abc: 2.876 2.876 7.668
angles: 90.00 90.00 120.00
Element x y z (fractional)
Ta: 0.000 0.000 0.000
W: 0.333 0.667 0.685
Cl: 0.667 0.333 0.240



Entry 16:
Computed, not measured: Ta2WCl after structural relaxation at the GGA-PBEsol level of DFT.

Results
The uncorrected formation energy comes out at 223 kJ/mol of formula units. The calculation puts the calculated total energy at -9.653 eV per atom. The value obtained for the total magnetization is 0.000 μB per cell.

abc: 5.002 5.002 5.002
angles: 141.29 120.35 73.41
Element x y z (fractional)
Ta: 0.229 0.229 0.000
Ta: 0.771 0.771 0.000
W: 0.500 0.000 0.500
Cl: 0.000 0.500 0.500



Entry 17:
Computed, not measured: Ta2WCl after structural relaxation at the GGA-PBEsol level of DFT.

Results
The uncorrected formation energy comes out at 30 kJ/mol of formula units. The calculation puts the calculated total energy at -10.152 eV per atom. The value obtained for the total magnetization is 0.000 μB per cell.

abc: 2.908 2.908 8.719
angles: 90.00 90.00 113.87
Element x y z (fractional)
Ta: 0.000 0.000 0.246
Ta: 0.000 0.000 0.754
W: 0.500 0.500 0.000
Cl: 0.500 0.500 0.500



Entry 18:
Computed, not measured: Ta2WCl after structural relaxation at the GGA-PBEsol level of DFT.

Results
The uncorrected formation energy comes out at 221 kJ/mol of formula units. The calculation puts the calculated total energy at -9.658 eV per atom. The value obtained for the total magnetization is 0.000 μB per cell.

abc: 4.672 4.672 3.095
angles: 90.00 90.00 100.30
Element x y z (fractional)
Ta: 0.000 0.500 0.000
Ta: 0.500 0.000 0.000
W: 0.000 0.000 0.500
Cl: 0.500 0.500 0.500



Entry 19:
Computed, not measured: Ta2WCl after structural relaxation at the GGA-PBEsol level of DFT.

Results
The uncorrected formation energy comes out at 83 kJ/mol of formula units. The calculation puts the calculated total energy at -10.014 eV per atom. The value obtained for the total magnetization is 0.000 μB per cell.

abc: 3.112 3.112 7.373
angles: 90.00 90.00 90.00
Element x y z (fractional)
Ta: 0.000 0.000 0.213
Ta: 0.000 0.000 0.787
W: 0.500 0.500 0.000
Cl: 0.500 0.500 0.500



Entry 20:
Computed, not measured: Ta2WCl after structural relaxation at the GGA-PBEsol level of DFT.

Results
The uncorrected formation energy comes out at 0 kJ/mol of formula units. The calculation puts the calculated total energy at -10.230 eV per atom. The value obtained for the total magnetization is 0.000 μB per cell.

abc: 3.134 3.206 7.349
angles: 90.00 90.00 90.00
Element x y z (fractional)
Ta: 0.000 0.000 0.207
Ta: 0.000 0.000 0.793
W: 0.500 0.500 0.000
Cl: 0.500 0.000 0.500